# Li2ZnSnBr6 (PBE, relaxed)
data_Li2ZnSnBr6
_cell_length_a 6.9722
_cell_length_b 6.9722
_cell_length_c 19.2628
_cell_angle_alpha 90.00
_cell_angle_beta 90.00
_cell_angle_gamma 120.00
_symmetry_space_group_name_H-M 'R 3'
_symmetry_Int_Tables_number 146
_symmetry_space_group_name_Hall 'R 3'
loop_
_atom_site_label
_atom_site_type_symbol
_atom_site_fract_x
_atom_site_fract_y
_atom_site_fract_z
Li1 Li 0.0000 0.0000 0.0000
Li2 Li 0.0000 0.0000 0.4964
Zn1 Zn 0.0000 0.0000 0.6883
Sn1 Sn 0.0000 0.0000 0.1911
Br1 Br 0.0039 0.3419 0.4209
Br2 Br 0.0222 0.6400 0.2632
# Spin magnetization: 0.00 μB per cell
# Uncorrected energy: -2.950 eV/atom
# Mass density: 4.2 Mg/m³